This record from Alexandria describes crystalline Si23Te at its relaxed geometry. The functional is GGA-PBE.

a = 10.249 Å, b = 10.249 Å, c = 10.249 Å
α = 90.00°, β = 90.00°, γ = 90.00°
Fractional coordinates of all 48 atoms:
Si (0.000, 0.117, 0.309)
Si (0.000, 0.117, 0.691)
Si (0.000, 0.250, 0.500)
Si (0.000, 0.750, 0.500)
Si (0.000, 0.883, 0.309)
Si (0.000, 0.883, 0.691)
Si (0.117, 0.309, 0.000)
Si (0.117, 0.691, 0.000)
Si (0.183, 0.183, 0.183)
Si (0.183, 0.183, 0.817)
Si (0.183, 0.817, 0.183)
Si (0.183, 0.817, 0.817)
Si (0.191, 0.383, 0.500)
Si (0.191, 0.617, 0.500)
Si (0.250, 0.500, 0.000)
Si (0.309, 0.000, 0.117)
Si (0.309, 0.000, 0.883)
Si (0.317, 0.317, 0.317)
Si (0.317, 0.317, 0.683)
Si (0.317, 0.683, 0.317)
Si (0.317, 0.683, 0.683)
Si (0.383, 0.500, 0.191)
Si (0.383, 0.500, 0.809)
Si (0.500, 0.000, 0.250)
Si (0.500, 0.000, 0.750)
Si (0.500, 0.191, 0.383)
Si (0.500, 0.191, 0.617)
Si (0.500, 0.809, 0.383)
Si (0.500, 0.809, 0.617)
Si (0.617, 0.500, 0.191)
Si (0.617, 0.500, 0.809)
Si (0.683, 0.317, 0.317)
Si (0.683, 0.317, 0.683)
Si (0.683, 0.683, 0.317)
Si (0.683, 0.683, 0.683)
Si (0.691, 0.000, 0.117)
Si (0.691, 0.000, 0.883)
Si (0.750, 0.500, 0.000)
Si (0.809, 0.383, 0.500)
Si (0.809, 0.617, 0.500)
Si (0.817, 0.183, 0.183)
Si (0.817, 0.183, 0.817)
Si (0.817, 0.817, 0.183)
Si (0.817, 0.817, 0.817)
Si (0.883, 0.309, 0.000)
Si (0.883, 0.691, 0.000)
Te (0.000, 0.000, 0.000)
Te (0.500, 0.500, 0.500)

symmetry	Pm-3n
N(E_F)	16.4	states/eV/cell
formation energy from raw total energies	0.110	eV/atom